Mn2Cl2O: relaxed, GGA+U.

N(E_F)	0.052	states/eV/atom
calculated total energy	-4.95	eV per atom
symmetry	I4/mmm, No. 139
total magnetization	10.0	μB/cell
calculated volume	96.8	Å³ per cell

Cell lengths 5.5234, 5.5234, 5.5234 Å; angles 129.89, 129.89, 73.58 degrees
Last column: nearest neighbours and their distance in Å.
Element x y z (fractional)
Mn1 0.2500 0.7500 0.5000  4 Cl 2.47
Mn2 0.7500 0.2500 0.5000  4 Cl 2.47
Cl1 0.1587 0.1587 0.0000  4 Mn 2.47
Cl2 0.8413 0.8413 0.0000  4 Mn 2.47
O1 0.5000 0.5000 0.0000  2 Cl 3.02, 8 Mn 3.22